[1]
Compound: TaTl2Ru
Source: Alexandria
Functional: PBE
Structure: optimized geometry

* space group: No. 123
* spin magnetization: 0.00 Bohr magnetons per cell
* calculated formation energy: 0.74 eV/atom
* distance to the lowest polymorph of the same formula: 12.383 kcal/mol of atoms

Structure (extended XYZ):
```
4
Lattice="-3.795 -1.375 1.787 -0.917 -2.075 -3.543 1.944 -3.416 1.499" Properties=species:S:1:pos:R:3 pbc="T T T"
Ru -2.356 -1.725 -0.878
Ta -0.925 -2.396 1.643
Tl 0.000 0.000 0.000
Tl 0.514 -2.746 -1.022
```

[2]
Compound: Dy3In
Source: Alexandria
Functional: PBE
Structure: optimized geometry

* space group: No. 225
* spin magnetization: 1.17 Bohr magnetons per cell
* calculated formation energy: -0.12 eV/atom

Structure (extended XYZ):
```
4
Lattice="5.444 0.000 0.000 2.722 4.715 0.000 2.722 1.572 4.445" Properties=species:S:1:pos:R:3 pbc="T T T"
In 5.444 3.143 2.223
Dy 0.000 0.000 0.000
Dy 8.166 4.715 3.334
Dy 2.722 1.572 1.111
```

[3]
Compound: Ti3Pb2O8
Source: Alexandria
Functional: PBE
Structure: optimized geometry

* space group: No. 12
* spin magnetization: 0.00 Bohr magnetons per cell
* energy relative to the elements, uncorrected: -2.465 eV per atom

Structure (extended XYZ):
```
13
Lattice="-4.620 -1.762 1.598 -1.269 -1.813 -5.670 4.878 -3.576 3.319" Properties=species:S:1:pos:R:3 pbc="T T T"
Ti -2.310 -0.881 0.799
Ti -0.329 -0.470 -1.470
Ti -0.940 -1.343 -4.200
Pb 0.938 -3.230 0.823
Pb -1.949 -3.922 -1.576
O -4.261 -3.469 -1.204
O 3.249 -3.682 0.450
O -3.408 -2.360 1.518
O 2.396 -4.792 -2.271
O 0.310 -5.240 -0.184
O 1.006 -4.246 2.924
O -2.017 -2.905 -3.677
O -1.321 -1.911 -0.569
```

[4]
Compound: Tl2Hg7Bi
Source: Alexandria
Functional: PBE
Structure: optimized geometry

* space group: No. 10
* spin magnetization: 0.00 Bohr magnetons per cell
* calculated formation energy: 0.03 eV/atom

Structure (extended XYZ):
```
10
Lattice="3.375 0.000 0.000 0.000 8.585 -3.533 0.000 1.105 9.919" Properties=species:S:1:pos:R:3 pbc="T T T"
Tl 1.688 3.902 4.740
Tl 1.688 5.788 1.645
Hg 0.000 1.243 3.538
Hg 0.000 8.447 2.847
Hg 1.688 2.695 1.038
Hg 1.688 6.995 5.348
Hg 1.688 2.397 7.423
Hg 1.688 7.293 -1.037
Hg 1.688 4.292 -1.767
Bi 0.000 0.000 0.000
```

[5]
Compound: La2Ho4Co
Source: Alexandria
Functional: PBE
Structure: optimized geometry

* space group: No. 139
* spin magnetization: 0.00 Bohr magnetons per cell
* calculated formation energy: 0.16 eV/atom

Structure (extended XYZ):
```
7
Lattice="-3.754 1.585 3.222 3.201 -0.636 4.042 2.405 8.555 2.780" Properties=species:S:1:pos:R:3 pbc="T T T"
Co 0.000 0.000 0.000
Ho 0.266 3.418 7.004
Ho 1.585 6.086 3.041
Ho 1.600 -0.318 2.021
Ho -1.877 0.792 1.611
La 1.353 6.693 6.658
La 0.499 2.811 3.386
```

[6]
Compound: CsFeAsH2
Source: Alexandria
Functional: PBE
Structure: optimized geometry

* space group: No. 123
* uncorrected energy: -14.1 eV for the cell shown
* spin magnetization: 3.51 Bohr magnetons per cell

Structure (extended XYZ):
```
5
Lattice="4.032 0.000 0.000 0.000 7.430 0.000 0.000 0.000 4.032" Properties=species:S:1:pos:R:3 pbc="T T T"
Cs 0.000 0.000 0.000
H 0.000 0.000 2.016
H 2.016 0.000 0.000
As 0.000 3.715 0.000
Fe 2.016 3.715 2.016
```

[7]
Compound: ReOsRh2
Source: Alexandria
Functional: PBE
Structure: optimized geometry

* space group: No. 12
* spin magnetization: 0.00 Bohr magnetons per cell
* calculated formation energy: 0.02 eV/atom
* distance to the lowest polymorph of the same formula: 1.728 kcal/mol of atoms

Structure (extended XYZ):
```
4
Lattice="2.323 -4.099 0.590 3.828 -2.583 -1.101 2.811 1.202 3.581" Properties=species:S:1:pos:R:3 pbc="T T T"
Re 3.076 -3.341 -0.256
Os 1.406 0.601 1.790
Rh 3.646 -0.772 2.554
Rh 5.316 -4.707 0.514
```

[8]
Compound: BaRuO3
Source: Alexandria
Functional: PBE
Structure: optimized geometry

* space group: No. 166
* spin magnetization: 0.66 Bohr magnetons per cell
* energy relative to the elements, uncorrected: -1.764 eV per atom

Structure (extended XYZ):
```
15
Lattice="8.046 0.000 0.000 5.933 5.435 0.000 5.933 2.307 4.921" Properties=species:S:1:pos:R:3 pbc="T T T"
Ba 15.541 6.042 3.841
Ba 4.371 1.699 1.080
Ba 0.000 0.000 0.000
Ru 12.284 4.776 3.036
Ru 7.628 2.966 1.885
Ru 9.956 3.871 2.461
O 10.463 5.528 3.514
O 11.449 2.991 3.514
O 11.449 4.451 1.217
O 9.449 2.214 1.407
O 8.463 4.750 1.407
O 8.463 3.290 3.704
O 6.989 2.717 0.000
O 6.989 1.153 2.461
O 5.933 3.871 2.461
```